[1]
Below is crystalline BeNb2V at its relaxed geometry, with properties calculated at the PBE-GGA level.

Computed properties:
* size of the total moment: 0.0 μB per cell
* ΔE_f: 11.30 kcal/mol of atoms
* ρ: 6.5 Mg/m³
* symmetry: No. 122
* raw total energy: -7.76 eV per atom
* calculated volume: 15.60 Å³/atom

Unit cell a=6.936 b=6.936 c=5.548 alpha=51.31 beta=51.31 gamma=90.00
Positions (direct):
Be 0.500 0.500 0.000
Nb 0.606 0.125 0.250
V 0.750 0.250 0.500
Nb 0.375 0.394 0.750
V 0.000 0.000 0.000
Be 0.250 0.750 0.500
Nb 0.875 0.856 0.750
Nb 0.144 0.625 0.250



[2]
Below is crystalline CaTaGe at its relaxed geometry, with properties calculated at the PBE-GGA level.

Computed properties:
* size of the total moment: 0.0 μB per cell
* ΔE_f: -3.84 kcal/mol of atoms
* ρ: 7.2 Mg/m³
* symmetry: No. 63
* raw total energy: -6.32 eV per atom
* calculated volume: 22.46 Å³/atom

Unit cell a=3.960 b=11.641 c=5.845 alpha=90.00 beta=90.00 gamma=90.00
Positions (direct):
Ge 0.500 0.593 0.750
Ta 0.000 0.500 0.500
Ca 0.000 0.798 0.750
Ca 0.500 0.702 0.250
Ge 0.000 0.093 0.750
Ge 0.000 0.907 0.250
Ta 0.500 0.000 0.500
Ta 0.500 0.000 0.000
Ta 0.000 0.500 0.000
Ge 0.500 0.407 0.250
Ca 0.000 0.202 0.250
Ca 0.500 0.298 0.750



[3]
Below is crystalline EuInPb2 at its relaxed geometry, with properties calculated at the PBE-GGA level.

Computed properties:
* size of the total moment: 7.0 μB per cell
* ΔE_f: -8.50 kcal/mol of atoms
* ρ: 9.7 Mg/m³
* symmetry: No. 123
* raw total energy: -5.48 eV per atom
* calculated volume: 29.17 Å³/atom

Unit cell a=4.769 b=4.946 c=4.946 alpha=90.00 beta=90.00 gamma=90.00
Positions (direct):
Eu 0.500 0.500 0.500
Pb 0.000 0.500 0.000
Pb 0.000 0.000 0.500
In 0.500 0.000 0.000



[4]
Below is crystalline LaTl3Pt8 at its relaxed geometry, with properties calculated at the PBE-GGA level.

Computed properties:
* size of the total moment: 0.0 μB per cell
* ΔE_f: -10.26 kcal/mol of atoms
* ρ: 16.4 Mg/m³
* symmetry: No. 160
* raw total energy: -5.47 eV per atom
* calculated volume: 19.50 Å³/atom

Unit cell a=5.500 b=5.500 c=9.480 alpha=73.14 beta=73.14 gamma=60.00
Positions (direct):
Pt 0.439 0.936 0.187
Tl 0.373 0.373 0.882
Pt 0.439 0.439 0.187
Tl 0.004 0.004 0.987
La 0.876 0.876 0.371
Pt 0.936 0.439 0.187
Pt 0.688 0.688 0.937
Pt 0.438 0.938 0.686
Tl 0.494 0.494 0.518
Pt 0.188 0.188 0.436
Pt 0.938 0.438 0.686
Pt 0.938 0.938 0.686



[5]
Below is crystalline La6Dy8Y at its relaxed geometry, with properties calculated at the PBE-GGA level.

Computed properties:
* size of the total moment: 0.0 μB per cell
* ΔE_f: 2.64 kcal/mol of atoms
* ρ: 7.2 Mg/m³
* symmetry: No. 148
* raw total energy: -4.74 eV per atom
* calculated volume: 34.22 Å³/atom

Unit cell a=9.146 b=9.146 c=8.836 alpha=58.83 beta=58.83 gamma=60.00
Positions (direct):
Dy 0.762 0.707 0.417
Dy 0.886 0.238 0.583
La 0.466 0.907 0.861
La 0.093 0.234 0.139
La 0.907 0.766 0.861
Dy 0.293 0.886 0.583
Y 0.000 0.000 0.000
Dy 0.423 0.423 0.731
La 0.234 0.534 0.139
Dy 0.238 0.293 0.583
Dy 0.707 0.114 0.417
Dy 0.577 0.577 0.269
Dy 0.114 0.762 0.417
La 0.766 0.466 0.861
La 0.534 0.093 0.139



[6]
Below is crystalline CePuThN3 at its relaxed geometry, with properties calculated at the PBE-GGA level.

Computed properties:
* size of the total moment: 13.2 μB per cell
* ρ: 10.1 Mg/m³
* symmetry: No. 11
* E_form (uncorrected): -7.241 eV per formula unit
* raw total energy: -9.98 eV per atom
* calculated volume: 18.07 Å³/atom

Unit cell a=3.477 b=7.164 c=8.768 alpha=83.26 beta=90.00 gamma=90.00
Positions (direct):
Ce 0.250 0.106 0.155
Pu 0.250 0.193 0.546
N 0.750 0.115 0.401
N 0.750 0.847 0.136
N 0.750 0.364 0.100
Th 0.250 0.597 0.158
Th 0.750 0.403 0.842
N 0.250 0.885 0.599
Ce 0.750 0.894 0.845
Pu 0.750 0.807 0.454
N 0.250 0.153 0.864
N 0.250 0.636 0.900



Q: ρ of number 2 (CaTaGe)?
A: 7.2 Mg/m³



Q: Which value of raw total energy does entry 5 give?
A: -4.74 eV per atom